NaLaNi4O12: relaxed, GGA+U.

Cell: 5.3772 5.3772 7.6711 Å, 90.00 90.00 89.79°
With the nearest neighbours (Å) after each atom.
Element x y z (fractional)
Na: 0.0105 0.0105 0.0000  4 O 2.46-2.58
La: 0.4921 0.4921 0.5000  12 O 2.52-2.79
Ni: 0.9972 0.5015 0.7567  6 O 1.89-1.97
Ni: 0.9972 0.5015 0.2433  6 O 1.89-1.97
Ni: 0.5015 0.9972 0.2433  6 O 1.89-1.97
Ni: 0.5015 0.9972 0.7567  6 O 1.89-1.97
O: 0.7384 0.2605 0.7414  2 Ni 1.91
O: 0.2605 0.7384 0.7414  2 Ni 1.91
O: 0.2605 0.7384 0.2586  2 Ni 1.91
O: 0.7384 0.2605 0.2586  2 Ni 1.91
O: 0.2500 0.2500 0.7627  2 Ni 1.91
O: 0.7343 0.7343 0.7234  2 Ni 1.90
O: 0.7343 0.7343 0.2766  2 Ni 1.90
O: 0.2500 0.2500 0.2373  2 Ni 1.91
O: 0.9889 0.5531 0.0000  2 Ni 1.89
O: 0.0119 0.4849 0.5000  2 Ni 1.97
O: 0.5531 0.9889 0.0000  2 Ni 1.89
O: 0.4849 0.0119 0.5000  2 Ni 1.97

Values from the calculation:
space-group type = Amm2
raw total energy = -4.729 eV/atom